This record from Alexandria via LeMat-Bulk describes a relaxed Ac2NdTl3Se6 crystal. The functional is PBE.

POSCAR file:
```
Ac2NdTl3Se6
1.0
3.893 -6.736 0.000
3.893 6.736 0.000
-2.591 0.000 7.719
Ac Nd Tl Se
2 1 3 6
Direct
0.167 0.833 0.000
0.833 0.167 0.000
0.500 0.500 0.000
0.000 0.000 0.500
0.333 0.667 0.500
0.667 0.333 0.500
0.106 0.428 0.786
0.250 0.250 0.217
0.428 0.106 0.786
0.572 0.894 0.214
0.750 0.750 0.783
0.894 0.572 0.214
```

Properties
Its calculated total energy is -4.832 eV/atom. For the total magnetization, the calculation gives 0.00 μB per cell. The volume comes out at 404.8 Å³ per cell.